# 1
The following is a DFT calculation (PBE) of GaCuAg after structural relaxation.

excess energy over the best structure of this formula in the dataset = 0.158 eV per atom
D(E_F) = 6.30 states/eV/cell
calculated formation energy = 123 meV per atom

a = 5.9633 Å, b = 5.9633 Å, c = 5.9633 Å
α = 90.00°, β = 90.00°, γ = 90.00°
Space group F-43m (No. 216)
Asymmetric unit:
Ga: 0.0000 0.0000 0.0000
Cu: 0.2500 0.2500 0.2500
Ag: 0.0000 0.0000 0.5000

***

# 2
The following is a DFT calculation (PBE) of LiYNi10 after structural relaxation.

D(E_F) = 16.82 states/eV/cell
calculated formation energy = -96 meV per atom

a = 3.9711 Å, b = 4.7920 Å, c = 8.3040 Å
α = 90.00°, β = 90.00°, γ = 90.00°
Space group Pmmm (No. 47)
Asymmetric unit:
Li: 0.0000 0.0000 0.0000
Y: 0.0000 0.5000 0.5000
Ni: 0.0000 0.0000 0.3189
Ni: 0.0000 0.5000 0.1574
Ni: 0.5000 0.0000 0.5000
Ni: 0.5000 0.2505 0.2479
Ni: 0.5000 0.5000 0.0000

***

# 3
The following is a DFT calculation (PBE) of ScCoRe2 after structural relaxation.

excess energy over the best structure of this formula in the dataset = 0.149 eV per atom
D(E_F) = 2.98 states/eV/cell
calculated formation energy = 73 meV per atom

a = 2.6899 Å, b = 2.6899 Å, c = 8.2363 Å
α = 90.00°, β = 90.00°, γ = 90.00°
Space group P4/mmm (No. 123)
Asymmetric unit:
Sc: 0.0000 0.0000 0.0000
Co: 0.0000 0.0000 0.5000
Re: 0.5000 0.5000 0.2828

***

# 4
The following is a DFT calculation (PBE) of Rb2GdHg after structural relaxation.

D(E_F) = 23.88 states/eV/cell
calculated formation energy = 305 meV per atom

a = 3.9356 Å, b = 3.9356 Å, c = 41.0682 Å
α = 90.00°, β = 90.00°, γ = 120.00°
Space group R-3m (No. 166, hexagonal axes)
Asymmetric unit:
Rb: 0.0000 0.0000 0.0956
Gd: 0.0000 0.0000 0.0000
Hg: 0.0000 0.0000 0.5000

***

# 5
The following is a DFT calculation (PBE) of Ba3Cd8Ga3 after structural relaxation.

excess energy over the best structure of this formula in the dataset = 0.017 eV per atom
D(E_F) = 15.43 states/eV/cell
calculated formation energy = -267 meV per atom

a = 5.0542 Å, b = 10.6774 Å, c = 14.3599 Å
α = 90.00°, β = 90.00°, γ = 90.00°
Space group Immm (No. 71)
Asymmetric unit:
Ba: 0.0000 0.0000 0.0000
Ba: 0.0000 0.0000 0.3105
Cd: 0.0000 0.2860 0.1263
Cd: 0.0000 0.3576 0.3363
Ga: 0.0000 0.2027 0.5000
Ga: 0.0000 0.5000 0.0000

***

# 6
The following is a DFT calculation (PBE) of Mg3US6 after structural relaxation.

formation energy (no corrections) = -120 kJ per mole of atoms

a = 6.4756 Å, b = 6.4756 Å, c = 17.8315 Å
α = 90.00°, β = 90.00°, γ = 120.00°
Space group R3 (No. 146, hexagonal axes)
Asymmetric unit:
Mg: 0.0000 0.0000 0.0000
Mg: 0.0000 0.0000 0.1909
Mg: 0.0000 0.0000 0.6967
U: 0.0000 0.0000 0.5060
S: 0.0010 0.6910 0.5955
S: 0.0120 0.3583 0.7615

***

# 7
The following is a DFT calculation (PBE) of Nd2Ge5Os3 after structural relaxation.

D(E_F) = 13.08 states/eV/cell
calculated formation energy = -452 meV per atom

a = 10.0370 Å, b = 12.4985 Å, c = 5.9523 Å
α = 90.00°, β = 90.00°, γ = 90.00°
Space group Ibam (No. 72)
Asymmetric unit:
Nd: 0.2310 0.1378 0.0000
Ge: 0.0000 0.0000 0.2500
Ge: 0.0000 0.2892 0.2500
Ge: 0.1709 0.4106 0.0000
Os: 0.0000 0.5000 0.2500
Os: 0.0969 0.1468 0.5000

***

# 8
The following is a DFT calculation (PBE) of Tl6N12F after structural relaxation.

formation energy (no corrections) = 1 kJ per mole of atoms
D(E_F) = 11.06 states/eV/cell

a = 12.4985 Å, b = 12.4985 Å, c = 10.9683 Å
α = 90.00°, β = 90.00°, γ = 120.00°
Space group R-3 (No. 148, hexagonal axes)
Asymmetric unit:
Tl: 0.0426 0.2348 0.4175
N: 0.0423 0.1679 0.8169
N: 0.0498 0.2096 0.9092
F: 0.0000 0.0000 0.5000

***

Number 1: ρ 7.55 Mg/m³. Number 2: ρ 7.17 Mg/m³. Number 3: ρ 13.27 Mg/m³. Number 4: ρ 4.78 Mg/m³. Number 5: ρ 6.52 Mg/m³. Number 6: ρ 3.87 Mg/m³. Number 7: ρ 10.87 Mg/m³. Number 8: ρ 4.75 Mg/m³.